BaHgAu, PBEsol geometry, DFT SCAN; V = 96.1 Å³ per cell; final energy = -59.60 eV per atom; DFT formation energy = -0.64 eV per atom
1.0
-3.925 1.585 -2.919
-4.144 -2.988 -0.579
-4.457 1.333 2.189
Ba Hg Au
1 1 1
Cartesian
0.000 0.000 0.000
-6.263 -0.035 -0.654
-3.132 -0.018 -0.327